Compound: CsHoMnS3
Source: the Alexandria database
Functional: PBE
Structure: relaxed

The structure in CIF format:
```
data_CsHoMnS3
_chemical_formula_sum 'Cs2 Ho2 Mn2 S6'
_cell_length_a 9.327
_cell_length_b 4.103
_cell_length_c 9.937
_cell_angle_alpha 90.00
_cell_angle_beta 111.29
_cell_angle_gamma 90.00
_symmetry_space_group_name_H-M 'P 1 21/m 1'
_symmetry_Int_Tables_number 11
loop_
_symmetry_equiv_pos_as_xyz
'x,y,z'
'-x,-y,-z'
'-x,y+1/2,-z'
'x,-y+1/2,z'
loop_
_atom_site_label
_atom_site_type_symbol
_atom_site_fract_x
_atom_site_fract_y
_atom_site_fract_z
Cs1 Cs 0.217 0.250 0.242
Ho1 Ho 0.335 0.750 0.863
Mn1 Mn 0.086 0.250 0.614
S1 S 0.131 0.250 0.859
S2 S 0.190 0.750 0.549
S3 S 0.477 0.750 0.150
```

Results
**E_form (uncorrected)**: -1.423 eV/atom
**Theoretical density**: 4.21 g cm⁻³